Density functional theory data (PBE) for a relaxed Ce2InF11 crystal.

Output
Fermi-level density of states   0.00 states/eV/cell
M_tot   0.000 μB per atom
E_form (uncorrected)   -3.328 eV per atom
DFT total energy   -0.429 Ry per atom
Mass density   4.4 g cm⁻³

Cell: 8.357 8.520 8.520 Å, 74.17 60.63 60.63°
Atoms (fractional coordinates):
1 F 0.851 0.932 0.789
2 F 0.149 0.068 0.211
3 F 0.649 0.711 0.568
4 F 0.235 0.526 0.187
5 F 0.052 0.187 0.526
6 F 0.072 0.568 0.711
7 F 0.000 0.000 0.000
8 F 0.626 0.289 0.711
9 F 0.948 0.813 0.474
10 F 0.735 0.687 0.026
11 F 0.374 0.711 0.289
12 F 0.500 0.500 0.500
13 F 0.874 0.789 0.211
14 F 0.928 0.432 0.289
15 F 0.126 0.211 0.789
16 F 0.265 0.313 0.974
17 F 0.552 0.026 0.687
18 F 0.428 0.789 0.932
19 F 0.765 0.474 0.813
20 F 0.351 0.289 0.432
21 F 0.448 0.974 0.313
22 F 0.572 0.211 0.068
23 Ce 0.151 0.817 0.183
24 Ce 0.849 0.183 0.817
25 Ce 0.651 0.683 0.317
26 Ce 0.349 0.317 0.683
27 In 0.250 0.250 0.250
28 In 0.750 0.750 0.750


Density functional theory data (PBE) for a relaxed Ce2InF crystal.

Output
Distance to the lowest polymorph of the same formula   0.00 eV/f.u.
Fermi-level density of states   11.08 states/eV/cell
M_tot   0.432 μB per atom
E_form (uncorrected)   -1.239 eV per atom
DFT total energy   -0.394 Ry per atom
Mass density   7.2 g cm⁻³

Cell: 3.779 3.779 8.066 Å, 76.45 76.45 60.00°
Site moments in Bohr magnetons follow the coordinates.
Atoms (fractional coordinates):
1 F 0.000 0.000 0.000  -0.01
2 Ce 0.727 0.727 0.820  0.75
3 Ce 0.273 0.273 0.180  0.75
4 In 0.500 0.500 0.500  -0.01


Density functional theory data (PBE) for a relaxed CeInF crystal.

Output
Distance to the lowest polymorph of the same formula   0.82 eV/f.u.
Fermi-level density of states   7.12 states/eV/cell
M_tot   0.423 μB per atom
E_form (uncorrected)   -1.506 eV per atom
DFT total energy   -0.369 Ry per atom
Mass density   6.4 g cm⁻³

Cell: 3.391 3.391 6.601 Å, 104.88 104.88 90.00°
Site moments in Bohr magnetons follow the coordinates.
Atoms (fractional coordinates):
1 In 0.006 0.006 0.012  0.01
2 Ce 0.721 0.721 0.442  1.01
3 F 0.273 0.273 0.546  0.00


Density functional theory data (PBE) for a relaxed CeIn2F6 crystal.

Output
Fermi-level density of states   3.18 states/eV/cell
M_tot   0.044 μB per atom
E_form (uncorrected)   -2.865 eV per atom
DFT total energy   -0.395 Ry per atom
Mass density   4.1 g cm⁻³

Cell: 5.726 6.027 6.528 Å, 93.16 90.00 118.36°
Site moments in Bohr magnetons follow the coordinates.
Atoms (fractional coordinates):
1 F 0.198 0.878 0.760  -0.01
2 F 0.191 0.382 0.873  0.00
3 F 0.802 0.122 0.240  -0.01
4 F 0.680 0.878 0.760  -0.01
5 F 0.320 0.122 0.240  -0.01
6 F 0.809 0.618 0.127  0.00
7 Ce 0.000 0.000 0.000  0.42
8 In 0.701 0.402 0.411  0.00
9 In 0.299 0.598 0.589  0.00


Density functional theory data (PBE) for a relaxed CeIn2F8 crystal.

Output
Fermi-level density of states   7.90 states/eV/cell
M_tot   0.082 μB per atom
E_form (uncorrected)   -2.786 eV per atom
DFT total energy   -0.381 Ry per atom
Mass density   5.6 g cm⁻³

Cell: 5.138 6.574 6.574 Å, 46.07 105.12 105.12°
Site moments in Bohr magnetons follow the coordinates.
Atoms (fractional coordinates):
1 F 0.248 0.936 0.417  0.00
2 F 0.237 0.481 0.481  0.00
3 F 0.752 0.064 0.583  0.00
4 F 0.248 0.417 0.936  0.00
5 F 0.698 0.104 0.104  -0.01
6 F 0.302 0.896 0.896  -0.01
7 F 0.763 0.519 0.519  0.00
8 F 0.752 0.583 0.064  0.00
9 In 0.414 0.338 0.338  0.01
10 In 0.586 0.662 0.662  0.01
11 Ce 0.000 0.000 0.000  0.85


Density functional theory data (PBE) for a relaxed Na2CeInF8 crystal.

Output
Fermi-level density of states   7.75 states/eV/cell
M_tot   0.079 μB per atom
E_form (uncorrected)   -3.091 eV per atom
DFT total energy   -0.388 Ry per atom
Mass density   4.5 g cm⁻³

Cell: 3.868 5.576 7.741 Å, 89.99 90.00 90.03°
Site moments in Bohr magnetons follow the coordinates.
Atoms (fractional coordinates):
1 F 0.000 0.231 0.762  0.00
2 F 0.000 0.769 0.238  0.00
3 F 0.500 0.777 0.000  0.00
4 F 0.500 0.223 0.000  0.00
5 F 0.000 0.231 0.238  0.00
6 F 0.000 0.769 0.762  0.00
7 F 0.500 0.755 0.500  -0.01
8 F 0.500 0.245 0.500  -0.01
9 Na 0.500 0.500 0.768  0.00
10 Na 0.500 0.500 0.232  0.00
11 Ce 0.000 0.000 0.500  0.88
12 In 0.000 0.000 0.000  0.03